1.
Ho4Cd2Pt | PBE-GGA | relaxed

Properties
space group: No. 166
total DFT energy (no corrections): -4.140 eV/atom

POSCAR file:
```
Ho4Cd2Pt
1.0
2.552 1.473 8.319
-2.552 1.473 8.319
0.000 -2.947 8.319
Ho Cd Pt
4 2 1
direct
0.121 0.121 0.121 Ho
0.372 0.372 0.372 Ho
0.628 0.628 0.628 Ho
0.879 0.879 0.879 Ho
0.245 0.245 0.245 Cd
0.755 0.755 0.755 Cd
0.000 0.000 0.000 Pt
```

2.
SiTeSe | PBE-GGA | relaxed

Properties
energy above the lowest structure with this stoichiometry: 0 meV/atom
space group: No. 2
formation energy (no corrections): -0.168 eV per atom

POSCAR file:
```
SiTeSe
1.0
3.358 0.000 0.000
-1.615 8.158 0.000
-0.009 -3.976 7.678
Si Te Se
2 2 2
direct
0.037 0.075 0.154 Si
0.963 0.925 0.846 Si
0.077 0.161 0.733 Te
0.923 0.839 0.267 Te
0.361 0.711 0.737 Se
0.639 0.289 0.263 Se
```

3.
Dy6ZnSe3S2 | PBE-GGA | relaxed

Properties
space group: No. 12
formation energy (no corrections): -1.609 eV per atom

POSCAR file:
```
Dy6ZnSe3S2
1.0
3.482 -6.022 0.000
3.482 6.022 0.000
-2.314 0.000 6.651
Dy Zn Se S
6 1 3 2
direct
0.087 0.422 0.764 Dy
0.243 0.243 0.234 Dy
0.422 0.087 0.764 Dy
0.578 0.913 0.236 Dy
0.757 0.757 0.766 Dy
0.913 0.578 0.236 Dy
0.500 0.500 0.000 Zn
0.000 0.000 0.500 Se
0.333 0.667 0.500 Se
0.667 0.333 0.500 Se
0.166 0.834 0.000 S
0.834 0.166 0.000 S
```

4.
K2Rb2Cd | PBE-GGA | relaxed

Properties
energy above the lowest structure with this stoichiometry: 0 meV/atom
space group: No. 12

POSCAR file:
```
K2Rb2Cd
1.0
4.914 -7.801 0.000
4.914 7.801 0.000
-4.458 0.000 8.665
K Rb Cd
4 4 2
direct
0.233 0.233 0.388 K
0.257 0.257 0.863 K
0.743 0.743 0.137 K
0.767 0.767 0.612 K
0.230 0.670 0.239 Rb
0.330 0.770 0.761 Rb
0.670 0.230 0.239 Rb
0.770 0.330 0.761 Rb
0.096 0.904 0.000 Cd
0.904 0.096 0.000 Cd
```